1.
Below is a relaxed structure of KRbHg2F8, with properties calculated at the PBE level.

The structure belongs to space group I-4m2 (No. 119); the cell edges are 6.160, 6.160 and 10.663 Å and the angles 90.00°, 90.00° and 90.00°. The asymmetric unit holds K at (0.000, 0.000, 0.000), Rb at (0.000, 0.500, 0.250), Hg at (0.000, 0.000, 0.500), Hg at (0.000, 0.500, 0.750) and F at (0.206, 0.260, 0.622).

The crystal system is tetragonal. The volume is 16.86 Å³ per atom. As for the formation energy from raw total energies: -155.8 kJ per mole of atoms.

2.
Below is a relaxed structure of Dy2HoPuS6, with properties calculated at the PBE level.

The structure belongs to space group R3 (No. 146, hexagonal axes); the cell edges are 6.9250, 6.9250 and 18.6258 Å and the angles 90.00°, 90.00° and 120.00°. The asymmetric unit holds Dy at (0.0000, 0.0000, 0.0000), Dy at (0.0000, 0.0000, 0.4993), Ho at (0.0000, 0.0000, 0.7995), Pu at (0.0000, 0.0000, 0.2986), S at (0.9998, 0.3021, 0.4002) and S at (0.0391, 0.6728, 0.5657).

The crystal system is trigonal. The volume is 25.78 Å³ per atom. As for the formation energy from raw total energies: -185.2 kJ per mole of atoms.

formation energy from raw total energies of number 2 (Dy2HoPuS6)? -185.2 kJ per mole of atoms